Computed, not measured: a relaxed structure of SrV2ZnO6 at the GGA+U level of DFT.

- Total moment: 8.00 Bohr magnetons per cell
- Raw total energy: -6.8422 eV per atom
- Crystal system: monoclinic

a b c (Å): 9.213 11.270 6.320
angles (deg): 90.00 115.22 90.00
Space group C2/c (No. 15)
Unique sites:
Sr1 0.000 0.100 0.250
V1 0.134 0.418 0.166
Zn1 0.000 0.193 0.750
O1 0.095 0.272 0.060
O2 0.114 0.457 0.453
O3 0.140 0.079 0.686